This record from Alexandria via LeMat-Bulk describes crystalline SbS at its relaxed geometry. The functional is PBEsol.

The space group is P2_1/m (No. 11) and the conventional cell measures 4.6092, 3.8441 and 5.6412 Å, with angles of 90.00, 105.77 and 90.00 degrees. The asymmetric unit holds Sb at (0.2460, 0.2500, 0.1744) and S at (0.3088, 0.2500, 0.7449).

Its formation energy from raw total energies is -96 meV/atom. The density of states at the Fermi level comes out at 1.2 states/eV per cell.

This record from Alexandria via LeMat-Bulk describes crystalline ScZn2SbS at its relaxed geometry. The functional is PBEsol.

The space group is P4/mmm (No. 123) and the conventional cell measures 5.0813, 5.0813 and 5.4128 Å, with angles of 90.00, 90.00 and 90.00 degrees. The asymmetric unit holds Sc at (0.0000, 0.0000, 0.0000), Zn at (0.0000, 0.5000, 0.0000), Sb at (0.0000, 0.0000, 0.5000) and S at (0.5000, 0.5000, 0.5000).

Its formation energy from raw total energies is 814 meV/atom. The density of states at the Fermi level comes out at 3.2 states/eV per cell.

This record from Alexandria via LeMat-Bulk describes crystalline Sb4Se3S3 at its relaxed geometry. The functional is PBEsol.

The space group is Pmc2_1 (No. 26) and the conventional cell measures 3.9051, 11.1073 and 11.3880 Å, with angles of 90.00, 90.00 and 90.00 degrees. The asymmetric unit holds Sb at (0.0000, 0.0783, 0.0000), Sb at (0.0000, 0.2899, 0.3163), Sb at (0.5000, 0.2090, 0.6284), Sb at (0.5000, 0.4110, 0.9520), Se at (0.0000, 0.3826, 0.5292), Se at (0.5000, 0.1159, 0.4162), Se at (0.5000, 0.4547, 0.2525), S at (0.0000, 0.0546, 0.6847), S at (0.0000, 0.2997, 0.8511) and S at (0.5000, 0.1924, 0.1002).

Its formation energy from raw total energies is -268 meV/atom.

This record from Alexandria via LeMat-Bulk describes crystalline SbSeS3 at its relaxed geometry. The functional is PBEsol.

The space group is Pm-3m (No. 221) and the conventional cell measures 4.7098, 4.7098 and 4.7098 Å, with angles of 90.00, 90.00 and 90.00 degrees. The asymmetric unit holds Sb at (0.0000, 0.0000, 0.0000), Se at (0.5000, 0.5000, 0.5000) and S at (0.0000, 0.5000, 0.5000).

Its formation energy from raw total energies is 444 meV/atom. The density of states at the Fermi level comes out at 3.6 states/eV per cell.

This record from Alexandria via LeMat-Bulk describes crystalline Sm2SbS at its relaxed geometry. The functional is PBEsol.

The space group is P4/mmm (No. 123) and the conventional cell measures 4.2104, 4.2104 and 5.9479 Å, with angles of 90.00, 90.00 and 90.00 degrees. The asymmetric unit holds Sm at (0.0000, 0.0000, 0.0000), Sm at (0.5000, 0.5000, 0.5000), Sb at (0.0000, 0.0000, 0.5000) and S at (0.5000, 0.5000, 0.0000).

Its formation energy from raw total energies is -1553 meV/atom. The density of states at the Fermi level comes out at 1.4 states/eV per cell.

This record from Alexandria via LeMat-Bulk describes crystalline Sn5Sb2S9 at its relaxed geometry. The functional is PBEsol.

The space group is Pbca (No. 61) and the conventional cell measures 11.1865, 11.2394 and 11.2974 Å, with angles of 90.00, 90.00 and 90.00 degrees. The asymmetric unit holds Sn at (0.0000, 0.0000, 0.0000), Sn at (0.0662, 0.1601, 0.3062), Sn at (0.1539, 0.6918, 0.9329), Sb at (0.1977, 0.0548, 0.6450), S at (0.0000, 0.0000, 0.5000), S at (0.0570, 0.2113, 0.0554), S at (0.0673, 0.5583, 0.7106), S at (0.1756, 0.6667, 0.1745) and S at (0.2153, 0.5567, 0.4425).

Its formation energy from raw total energies is -382 meV/atom. The density of states at the Fermi level comes out at 0.1 states/eV per cell.

This record from Alexandria via LeMat-Bulk describes crystalline Sn2Sb2S5 at its relaxed geometry. The functional is PBEsol.

The space group is Pnma (No. 62) and the conventional cell measures 19.2354, 3.9147 and 11.1975 Å, with angles of 90.00, 90.00 and 90.00 degrees. The asymmetric unit holds Sn at (0.0962, 0.2500, 0.0047), Sn at (0.2070, 0.2500, 0.3359), Sb at (0.0252, 0.7500, 0.2920), Sb at (0.1275, 0.7500, 0.6232), S at (0.0223, 0.7500, 0.8684), S at (0.0773, 0.2500, 0.4307), S at (0.1343, 0.7500, 0.1790), S at (0.1717, 0.2500, 0.7494) and S at (0.2334, 0.7500, 0.5017).

Its formation energy from raw total energies is -353 meV/atom.

This record from Alexandria via LeMat-Bulk describes crystalline TaSb3S at its relaxed geometry. The functional is PBEsol.

The space group is Pm-3m (No. 221) and the conventional cell measures 5.2182, 5.2182 and 5.2182 Å, with angles of 90.00, 90.00 and 90.00 degrees. The asymmetric unit holds Ta at (0.0000, 0.0000, 0.0000), Sb at (0.0000, 0.0000, 0.5000) and S at (0.5000, 0.5000, 0.5000).

As for the offset from the most stable computed form: 0.0 kJ/mol of atoms. Its formation energy from raw total energies is 560 meV/atom. The density of states at the Fermi level comes out at 5.2 states/eV per cell.

These records have magnetic moment values of 0.000; 0.000; 0.000; 0.000; 0.000; 0.000; 0.000; 0.002 μB/cell, in the order they appear.